Density functional theory data (GGA-PBE) for a relaxed structure of AcPr3NdY.

The structure in POSCAR format:
```
AcPr3NdY
1.0
8.3412 0.0000 0.0000
0.0000 5.2935 0.0000
-3.3849 0.0000 10.0076
Ac Pr Nd Y
2 6 2 2
Direct
0.1698 0.2500 0.2927 Ac
0.8302 0.7500 0.7073 Ac
0.1714 0.2500 0.7927 Pr
0.1711 0.7500 0.5456 Pr
0.1718 0.7500 0.0406 Pr
0.8282 0.2500 0.9594 Pr
0.8289 0.2500 0.4544 Pr
0.8286 0.7500 0.2073 Pr
0.4966 0.7500 0.8754 Nd
0.5034 0.2500 0.1246 Nd
0.4981 0.2500 0.6262 Y
0.5019 0.7500 0.3738 Y
```

Results
* total moment: 0.0 μB per formula unit
* formation energy from the elements: 27.2 meV/atom
* electronic total energy: -4.92 eV per atom
* theoretical density: 6.635 Mg/m³